1.
The following is a DFT calculation (GGA-PBE) of a relaxed structure of Cu2Ag2I7.

Properties
E above lowest polymorph = 0 kJ/mol of formula units
N(E_F) = 0.941 states/eV per atom
Calculated total energy = -25.71 eV/cell
Total magnetic moment = 0.00 μB per formula unit
Energy relative to the elements, uncorrected = -0.0880 eV/atom

a = 7.878 Å, b = 7.929 Å, c = 7.929 Å
α = 118.74°, β = 92.55°, γ = 92.55°
Sites, in units of the cell vectors:
Cu 0.344 0.312 0.312
Cu 0.656 0.688 0.688
Ag 0.000 0.259 0.741
Ag 0.000 0.741 0.259
I 0.775 0.906 0.554
I 0.225 0.446 0.094
I 0.225 0.094 0.446
I 0.775 0.554 0.906
I 0.500 0.000 0.000
I 0.311 0.649 0.649
I 0.689 0.351 0.351

***

2.
The following is a DFT calculation (GGA-PBE) of a relaxed structure of In5Cl4F3.

Properties
N(E_F) = 0.000 states/eV per atom
Calculated total energy = -43.23 eV/cell
Total magnetic moment = 0.00 μB per formula unit
Energy relative to the elements, uncorrected = -1.3777 eV/atom

a = 4.356 Å, b = 8.076 Å, c = 10.319 Å
α = 92.86°, β = 77.81°, γ = 74.35°
Sites, in units of the cell vectors:
In 0.567 0.129 0.738
In 0.500 0.500 0.500
In 0.231 0.372 0.167
In 0.769 0.628 0.833
In 0.433 0.871 0.262
Cl 0.889 0.288 0.934
Cl 0.307 0.813 0.573
Cl 0.693 0.187 0.427
Cl 0.111 0.712 0.066
F 0.573 0.557 0.297
F 0.000 0.500 0.500
F 0.427 0.443 0.703

***

3.
The following is a DFT calculation (GGA-PBE) of a relaxed structure of YHo3ErSc.

Properties
N(E_F) = 1.371 states/eV per atom
Formation energy from the elements = 22 kJ/mol of formula units
Calculated total energy = -61.73 eV/cell
Total magnetic moment = 0.00 μB per formula unit

a = 4.945 Å, b = 7.786 Å, c = 10.437 Å
α = 116.44°, β = 90.00°, γ = 90.00°
Sites, in units of the cell vectors:
Y 0.250 0.123 0.296
Y 0.750 0.877 0.704
Ho 0.750 0.874 0.044
Ho 0.250 0.126 0.956
Ho 0.250 0.632 0.458
Ho 0.750 0.368 0.542
Ho 0.750 0.380 0.210
Ho 0.250 0.620 0.790
Er 0.250 0.627 0.127
Er 0.750 0.373 0.873
Sc 0.250 0.123 0.623
Sc 0.750 0.877 0.377

***

4.
The following is a DFT calculation (GGA-PBE) of a relaxed structure of LiMo3.

Properties
E above lowest polymorph = 15 kJ/mol of formula units
N(E_F) = 0.816 states/eV per atom
Formation energy from the elements = 105 kJ/mol of formula units
Calculated total energy = -33.32 eV/cell
Total magnetic moment = 0.00 μB per formula unit

a = 4.468 Å, b = 2.636 Å, c = 5.240 Å
α = 81.21°, β = 90.00°, γ = 90.00°
Sites, in units of the cell vectors:
Li 0.000 0.000 0.000
Mo 0.500 0.759 0.748
Mo 0.000 0.500 0.500
Mo 0.500 0.241 0.252

***

Please write out number 2 again, unchanged.
The following is a DFT calculation (GGA-PBE) of a relaxed structure of In5Cl4F3.

Properties
N(E_F) = 0.000 states/eV per atom
Calculated total energy = -43.23 eV/cell
Total magnetic moment = 0.00 μB per formula unit
Energy relative to the elements, uncorrected = -1.3777 eV/atom

a = 4.356 Å, b = 8.076 Å, c = 10.319 Å
α = 92.86°, β = 77.81°, γ = 74.35°
Sites, in units of the cell vectors:
In 0.567 0.129 0.738
In 0.500 0.500 0.500
In 0.231 0.372 0.167
In 0.769 0.628 0.833
In 0.433 0.871 0.262
Cl 0.889 0.288 0.934
Cl 0.307 0.813 0.573
Cl 0.693 0.187 0.427
Cl 0.111 0.712 0.066
F 0.573 0.557 0.297
F 0.000 0.500 0.500
F 0.427 0.443 0.703

***

Which value of N(E_F) does entry 2 give? 0.000 states/eV per atom